The following is a GGA-PBE calculation of an optimized crystal structure of SrAl2Mo, from Alexandria.

Results
Formation energy from the elements in meV/atom: 654
DFT total energy in eV/atom: -4.346
Space-group type: No. 216
Polymorph energy (0 for the lowest one) in eV/f.u.: 2.54

Cell: 4.836 4.836 4.836 Å, 60.00 60.00 60.00°
Fractional coordinates of all 4 atoms:
Sr (0.000, 0.000, 0.000)
Al (0.500, 0.500, 0.500)
Al (0.750, 0.750, 0.750)
Mo (0.250, 0.250, 0.250)